# 1
An optimized crystal structure of LiTbDySn. Source: Alexandria, functional PBE.

Formation energy = -0.417 eV/atom
Raw total energy = -4.20 eV/atom
Symmetry = F-43m (216)

Cell and atoms, written as CIF:
```
data_LiTbDySn
_cell_length_a 5.223
_cell_length_b 5.223
_cell_length_c 5.223
_cell_angle_alpha 60.00
_cell_angle_beta 60.00
_cell_angle_gamma 60.00
_symmetry_space_group_name_H-M 'P 1'
_symmetry_Int_Tables_number 1
_symmetry_space_group_name_Hall 'P 1'
loop_
_atom_site_label
_atom_site_fract_x
_atom_site_fract_y
_atom_site_fract_z
_atom_site_occupancy
Li1 0.000 0.000 0.000 1
Tb1 0.250 0.250 0.250 1
Dy1 0.750 0.750 0.750 1
Sn1 0.500 0.500 0.500 1
```

# 2
An optimized crystal structure of Li2Tb2DySn2. Source: Alexandria, functional PBE.

Formation energy = -0.449 eV/atom
Raw total energy = -4.12 eV/atom
Symmetry = R-3m (166)

Cell and atoms, written as CIF:
```
data_Li2Tb2DySn2
_cell_length_a 9.295
_cell_length_b 9.295
_cell_length_c 9.295
_cell_angle_alpha 29.76
_cell_angle_beta 29.76
_cell_angle_gamma 29.76
_symmetry_space_group_name_H-M 'P 1'
_symmetry_Int_Tables_number 1
_symmetry_space_group_name_Hall 'P 1'
loop_
_atom_site_label
_atom_site_fract_x
_atom_site_fract_y
_atom_site_fract_z
_atom_site_occupancy
Li1 0.100 0.100 0.100 1
Li2 0.900 0.900 0.900 1
Tb1 0.371 0.371 0.371 1
Tb2 0.629 0.629 0.629 1
Dy1 0.500 0.500 0.500 1
Sn1 0.236 0.236 0.236 1
Sn2 0.764 0.764 0.764 1
```